# 1
Here is an optimized crystal structure of PuAg3F7 from Alexandria. Energies are from GGA-PBE.

Summary:
Total moment (μB/atom): 0.3599
Symmetry: No. 63
Formation energy without anion corrections (eV/atom): -2.047
Raw total energy (eV/atom): -5.32

Cell lengths 6.929, 6.929, 8.976 Å; angles 90.00, 90.00, 113.81 degrees
Each line ends with the local moment (μB).
Element x y z (fractional)
F 0.923 0.671 0.493  -0.04
F 0.010 0.990 0.750  -0.02
F 0.671 0.923 0.993  -0.04
F 0.365 0.635 0.250  -0.01
F 0.077 0.329 0.507  -0.04
F 0.329 0.077 0.493  -0.04
F 0.651 0.349 0.250  -0.02
F 0.329 0.077 0.007  -0.04
F 0.923 0.671 0.007  -0.04
F 0.671 0.923 0.507  -0.04
F 0.349 0.651 0.750  -0.02
F 0.077 0.329 0.993  -0.04
F 0.990 0.010 0.250  -0.02
F 0.635 0.365 0.750  -0.01
Pu 0.000 0.000 0.000  4.21
Pu 0.000 0.000 0.500  4.21
Ag 0.500 0.500 0.000  0.00
Ag 0.497 0.007 0.750  -0.04
Ag 0.007 0.497 0.250  -0.04
Ag 0.993 0.503 0.750  -0.04
Ag 0.500 0.500 0.500  0.00
Ag 0.503 0.993 0.250  -0.04

# 2
Here is an optimized crystal structure of RbPuAgF6 from Alexandria. Energies are from GGA-PBE.

Summary:
Total moment (μB/atom): 0.4444
Symmetry: No. 163
Formation energy without anion corrections (eV/atom): -2.807
Raw total energy (eV/atom): -6.07

Cell lengths 6.323, 6.323, 11.310 Å; angles 90.00, 90.00, 120.00 degrees
Each line ends with the local moment (μB).
Element x y z (fractional)
Ag 0.667 0.333 0.750  0.00
Ag 0.333 0.667 0.250  0.00
F 0.387 0.042 0.144  -0.03
F 0.655 0.613 0.144  -0.03
F 0.345 0.958 0.644  -0.03
F 0.958 0.345 0.144  -0.03
F 0.345 0.387 0.856  -0.03
F 0.042 0.655 0.856  -0.03
F 0.613 0.958 0.856  -0.03
F 0.958 0.613 0.356  -0.03
F 0.655 0.042 0.356  -0.03
F 0.387 0.345 0.356  -0.03
F 0.613 0.655 0.644  -0.03
F 0.042 0.387 0.644  -0.03
Rb 0.000 0.000 0.000  0.00
Rb 0.000 0.000 0.500  0.00
Pu 0.333 0.667 0.750  4.13
Pu 0.667 0.333 0.250  4.13

# 3
Here is an optimized crystal structure of Rb3PuAg2F9 from Alexandria. Energies are from GGA-PBE.

Summary:
Total moment (μB/atom): 0.2635
Symmetry: No. 164
Formation energy without anion corrections (eV/atom): -2.525
Raw total energy (eV/atom): -5.18

Cell lengths 6.507, 6.507, 8.452 Å; angles 90.00, 90.00, 120.00 degrees
Each line ends with the local moment (μB).
Element x y z (fractional)
Ag 0.333 0.667 0.171  -0.06
Ag 0.667 0.333 0.829  -0.06
Rb 0.667 0.333 0.244  0.00
Rb 0.000 0.000 0.000  0.00
Rb 0.333 0.667 0.756  0.00
Pu 0.000 0.000 0.500  4.23
F 0.307 0.154 0.654  -0.03
F 0.846 0.154 0.654  -0.03
F 0.500 0.500 0.000  -0.01
F 0.693 0.846 0.346  -0.03
F 0.154 0.846 0.346  -0.03
F 0.846 0.693 0.654  -0.03
F 0.154 0.307 0.346  -0.03
F 0.500 0.000 0.000  -0.01
F 0.000 0.500 0.000  -0.01

# 4
Here is an optimized crystal structure of Rb2PuAgF8 from Alexandria. Energies are from GGA-PBE.

Summary:
Total moment (μB/atom): 0.2500
Symmetry: No. 119
Formation energy without anion corrections (eV/atom): -2.698
Raw total energy (eV/atom): -5.54

Cell lengths 6.162, 6.162, 7.221 Å; angles 115.26, 115.26, 90.00 degrees
Each line ends with the local moment (μB).
Element x y z (fractional)
F 0.927 0.439 0.278  0.03
F 0.161 0.648 0.722  0.03
F 0.561 0.073 0.722  0.03
F 0.161 0.073 0.722  0.03
F 0.352 0.439 0.278  0.03
F 0.927 0.839 0.278  0.03
F 0.352 0.839 0.278  0.03
F 0.561 0.648 0.722  0.03
Ag 0.500 0.500 0.000  0.03
Rb 0.000 0.000 0.000  0.00
Rb 0.750 0.250 0.500  0.00
Pu 0.250 0.750 0.500  -3.29

# 5
Here is an optimized crystal structure of Rb2PuAgF6 from Alexandria. Energies are from GGA-PBE.

Summary:
Total moment (μB/atom): 0.4993
Symmetry: No. 166
Formation energy without anion corrections (eV/atom): -2.710
Raw total energy (eV/atom): -5.74

Cell lengths 6.683, 6.679, 6.678 Å; angles 60.04, 60.00, 89.99 degrees
Each line ends with the local moment (μB).
Element x y z (fractional)
F 0.260 0.261 0.479  -0.01
F 0.740 0.739 0.521  -0.01
F 0.740 0.260 0.000  -0.01
F 0.260 0.740 0.000  -0.01
F 0.740 0.740 0.000  -0.01
F 0.260 0.260 0.000  -0.01
Rb 0.250 0.750 0.500  0.00
Rb 0.750 0.250 0.500  0.00
Pu 0.500 0.500 0.000  4.95
Ag 0.000 0.000 0.000  0.01

# 6
Here is an optimized crystal structure of PuTl2AgF6 from Alexandria. Energies are from GGA-PBE.

Summary:
Total moment (μB/atom): 0.5001
Symmetry: No. 59
Formation energy without anion corrections (eV/atom): -2.315
Raw total energy (eV/atom): -5.63

Cell lengths 6.772, 6.663, 9.304 Å; angles 90.00, 90.00, 90.00 degrees
Each line ends with the local moment (μB).
Element x y z (fractional)
F 0.000 0.818 0.238  -0.01
F 0.500 0.182 0.262  -0.01
F 0.226 0.069 0.500  -0.01
F 0.726 0.931 0.000  -0.01
F 0.770 0.483 0.000  -0.01
F 0.274 0.931 0.000  -0.01
F 0.270 0.517 0.500  -0.01
F 0.230 0.483 0.000  -0.01
F 0.730 0.517 0.500  -0.01
F 0.000 0.818 0.762  -0.01
F 0.500 0.182 0.738  -0.01
F 0.774 0.069 0.500  -0.01
Ag 0.000 0.752 0.500  0.00
Ag 0.500 0.248 0.000  0.00
Tl 0.000 0.206 0.277  0.01
Tl 0.000 0.206 0.723  0.01
Tl 0.500 0.794 0.777  0.01
Tl 0.500 0.794 0.223  0.01
Pu 0.000 0.723 0.000  4.94
Pu 0.500 0.277 0.500  4.94

# 7
Here is an optimized crystal structure of PuTlAgF6 from Alexandria. Energies are from GGA-PBE.

Summary:
Total moment (μB/atom): 0.4444
Symmetry: No. 163
Formation energy without anion corrections (eV/atom): -2.567
Raw total energy (eV/atom): -5.99

Cell lengths 6.346, 6.346, 11.022 Å; angles 90.00, 90.00, 120.00 degrees
Each line ends with the local moment (μB).
Element x y z (fractional)
Ag 0.667 0.333 0.750  0.00
Ag 0.333 0.667 0.250  0.00
F 0.613 0.958 0.858  -0.03
F 0.958 0.613 0.358  -0.03
F 0.345 0.387 0.858  -0.03
F 0.387 0.042 0.142  -0.03
F 0.655 0.613 0.142  -0.03
F 0.042 0.387 0.642  -0.03
F 0.387 0.345 0.358  -0.03
F 0.655 0.042 0.358  -0.03
F 0.613 0.655 0.642  -0.03
F 0.042 0.655 0.858  -0.03
F 0.958 0.345 0.142  -0.03
F 0.345 0.958 0.642  -0.03
Pu 0.333 0.667 0.750  4.14
Pu 0.667 0.333 0.250  4.14
Tl 0.000 0.000 0.500  -0.01
Tl 0.000 0.000 0.000  -0.01

# 8
Here is an optimized crystal structure of PuTlAg2F6 from Alexandria. Energies are from GGA-PBE.

Summary:
Total moment (μB/atom): 0.3986
Symmetry: No. 2
Formation energy without anion corrections (eV/atom): -2.204
Raw total energy (eV/atom): -5.57

Cell lengths 5.245, 5.872, 7.930 Å; angles 81.75, 116.67, 118.58 degrees
Each line ends with the local moment (μB).
Element x y z (fractional)
Pu 0.997 0.998 0.980  4.16
F 0.540 0.949 0.735  -0.02
F 0.976 0.694 0.852  -0.04
F 0.216 0.261 0.805  -0.02
F 0.017 0.301 0.109  -0.04
F 0.453 0.047 0.225  -0.02
F 0.777 0.734 0.155  -0.02
Ag 0.504 0.329 0.616  -0.01
Ag 0.489 0.667 0.345  -0.01
Tl 0.997 0.498 0.480  -0.01

# 9
Here is an optimized crystal structure of PuTlAg2F8 from Alexandria. Energies are from GGA-PBE.

Summary:
Total moment (μB/atom): 0.2454
Symmetry: No. 164
Formation energy without anion corrections (eV/atom): -2.038
Raw total energy (eV/atom): -5.15

Cell lengths 5.417, 5.417, 8.867 Å; angles 90.00, 90.00, 120.00 degrees
Each line ends with the local moment (μB).
Element x y z (fractional)
Tl 0.000 0.000 0.500  0.00
Ag 0.333 0.667 0.708  -0.03
Ag 0.667 0.333 0.292  -0.03
F 0.660 0.830 0.148  -0.04
F 0.170 0.830 0.148  -0.04
F 0.170 0.340 0.148  -0.04
F 0.667 0.333 0.531  -0.02
F 0.340 0.170 0.852  -0.04
F 0.830 0.170 0.852  -0.04
F 0.333 0.667 0.469  -0.02
F 0.830 0.660 0.852  -0.04
Pu 0.000 0.000 0.000  3.30

# 10
Here is an optimized crystal structure of RbAg2F8 from Alexandria. Energies are from GGA-PBE.

Summary:
Total moment (μB/atom): 0.4610
Polymorph energy (0 for the lowest one) (meV per atom): 192
Symmetry: No. 123
Formation energy without anion corrections (eV/atom): -1.086
Raw total energy (eV/atom): -3.05

Cell lengths 5.242, 5.242, 6.889 Å; angles 90.00, 90.00, 90.00 degrees
Each line ends with the local moment (μB).
Element x y z (fractional)
F 0.752 0.752 0.818  0.38
F 0.752 0.248 0.818  0.38
F 0.248 0.752 0.818  0.38
F 0.752 0.752 0.182  0.38
F 0.248 0.248 0.818  0.38
F 0.248 0.248 0.182  0.38
F 0.752 0.248 0.182  0.38
F 0.248 0.752 0.182  0.38
Rb 0.500 0.500 0.500  0.00
Ag 0.500 0.000 0.000  0.91
Ag 0.000 0.500 0.000  0.91

# 11
Here is an optimized crystal structure of Rb7Ag3F2 from Alexandria. Energies are from GGA-PBE.

Summary:
Total moment (μB/atom): 0.0000
Symmetry: No. 65
Formation energy without anion corrections (eV/atom): -0.804
Raw total energy (eV/atom): -2.39

Cell lengths 5.815, 5.559, 14.454 Å; angles 90.00, 101.60, 90.00 degrees
Element x y z (fractional)
Rb 0.601 0.000 0.202
Rb 0.204 0.000 0.408
Rb 0.896 0.500 0.793
Rb 0.399 0.000 0.798
Rb 0.796 0.000 0.592
Rb 0.000 0.000 0.000
Rb 0.104 0.500 0.207
Ag 0.700 0.500 0.399
Ag 0.300 0.500 0.601
Ag 0.500 0.500 0.000
F 0.102 0.000 0.204
F 0.898 0.000 0.796

# 12
Here is an optimized crystal structure of Rb3Ag2F7 from Alexandria. Energies are from GGA-PBE.

Summary:
Total moment (μB/atom): 0.0000
Symmetry: No. 139
Formation energy without anion corrections (eV/atom): -2.007
Raw total energy (eV/atom): -3.82

Cell lengths 4.463, 4.463, 11.761 Å; angles 100.94, 100.94, 90.00 degrees
Element x y z (fractional)
F 0.405 0.905 0.811
F 0.805 0.805 0.611
F 0.000 0.000 0.000
F 0.095 0.595 0.189
F 0.595 0.095 0.189
F 0.195 0.195 0.389
F 0.905 0.405 0.811
Rb 0.683 0.683 0.367
Rb 0.500 0.500 0.000
Rb 0.317 0.317 0.633
Ag 0.903 0.903 0.807
Ag 0.097 0.097 0.193